DFT (PBE with a Hubbard U) results for a relaxed NaMo2P4O14 crystal.

Unit cell a=5.0102 b=7.0238 c=8.5882 alpha=91.85 beta=92.92 gamma=106.01
Atoms (fractional coordinates):
Na  0.0000  0.0000  0.0000
Mo  0.3184  0.5156  0.9686
Mo  0.8120  0.0126  0.4707
P  0.1969  0.7659  0.2784
P  0.4255  0.2547  0.6640
P  0.8089  0.3755  0.2086
P  0.8239  0.6466  0.7295
O  0.0107  0.9076  0.2965
O  0.0281  0.5473  0.3206
O  0.0600  0.5622  0.7793
O  0.1771  0.2091  0.5428
O  0.2662  0.7667  0.1065
O  0.3452  0.2545  0.8336
O  0.4480  0.8137  0.3966
O  0.5789  0.4632  0.1545
O  0.5960  0.4747  0.6240
O  0.6125  0.1157  0.6415
O  0.6757  0.7078  0.8677
O  0.7051  0.2044  0.3143
O  0.9207  0.8167  0.6218
O  0.9735  0.3188  0.0765

Output
Spin magnetization, μB/cell: 5.000
Final energy, Ha/atom: -0.265